(1)
VASP calculation (PBE-GGA) on a geometry-optimized AcIn structure.

POSCAR file:
```
AcIn
1.0
-3.1297 -3.6519 0.6572
1.4182 -4.0254 2.3126
-1.6969 -0.9723 4.4427
Ac In
1 1
Direct
0.5000 0.5000 0.5000 Ac
0.0000 0.0000 0.0000 In
```

Output
uncorrected energy = -7.0 eV/cell
SG = Fm-3m
D(E_F) = 5.372 states/eV/f.u.
energy relative to the elements = -0.085 eV per atom
total moment = 0.00 μB per atom



(2)
VASP calculation (PBE-GGA) on a geometry-optimized Ca2NiH6Pt structure.

POSCAR file:
```
Ca2NiH6Pt
1.0
-1.4988 4.8376 -1.1096
-4.9664 -1.4672 0.2500
3.1783 -0.9025 3.9208
Ca Ni H Pt
2 1 6 1
Direct
0.7499 0.2504 0.4998 Ca
0.2499 0.7504 0.4998 Ca
0.9999 0.0003 0.9998 Ni
0.7672 0.7677 0.0000 H
0.7555 0.7560 0.5110 H
0.2326 0.2331 0.9996 H
0.7662 0.2341 0.9998 H
0.2443 0.2448 0.4886 H
0.2336 0.7667 0.9998 H
0.4999 0.5004 0.9998 Pt
```

Output
uncorrected energy = -41.0 eV/cell
SG = Fmmm
D(E_F) = 1.491 states/eV/f.u.
total moment = 0.00 μB per atom



(3)
VASP calculation (PBE-GGA) on a geometry-optimized Cs6Au2SCl structure.

POSCAR file:
```
Cs6Au2SCl
1.0
-2.7099 -5.2268 6.5953
8.8466 -2.9258 1.3162
1.7393 9.1943 8.7473
Cs Au S Cl
12 4 2 2
Direct
0.3044 0.6840 0.0622 Cs
0.8044 0.8160 0.5622 Cs
0.6956 0.3160 0.9378 Cs
0.1956 0.1840 0.4378 Cs
0.3172 0.7011 0.4274 Cs
0.8172 0.7989 0.9274 Cs
0.6828 0.2989 0.5726 Cs
0.1828 0.2011 0.0726 Cs
0.8667 0.5549 0.2453 Cs
0.3667 0.9451 0.7453 Cs
0.1333 0.4451 0.7547 Cs
0.6333 0.0549 0.2547 Cs
0.0345 0.9166 0.2597 Au
0.5345 0.5834 0.7597 Au
0.9655 0.0834 0.7403 Au
0.4655 0.4166 0.2403 Au
0.5000 0.0000 0.5000 S
0.0000 0.5000 0.0000 S
0.5000 0.0000 0.0000 Cl
0.0000 0.5000 0.5000 Cl
```

Output
uncorrected energy = -51.1 eV/cell
SG = P2_1/c
formation energy from raw total energies = -0.7913 eV/atom
D(E_F) = 5.304 states/eV/f.u.
total moment = 0.00 μB per atom



(4)
VASP calculation (PBE-GGA) on a geometry-optimized La2YSe4 structure.

POSCAR file:
```
La2YSe4
1.0
5.3552 0.0000 0.0000
0.0000 5.3552 0.0000
2.6776 2.6776 7.5596
Y Se La
1 4 2
Direct
0.0000 0.0000 0.0000 Y
0.1854 0.1854 0.6292 Se
0.8146 0.8146 0.3708 Se
0.0000 0.5000 0.0000 Se
0.5000 0.0000 0.0000 Se
0.3746 0.3746 0.2508 La
0.6254 0.6254 0.7492 La
```

Output
uncorrected energy = -41.9 eV/cell
SG = I4/mmm
formation energy from raw total energies = -1.6586 eV/atom
D(E_F) = 2.874 states/eV/f.u.
offset from the most stable computed form = 0.243 eV per atom
total moment = 0.08 μB per atom



(5)
VASP calculation (PBE-GGA) on a geometry-optimized Cs2CCl structure.

POSCAR file:
```
Cs2CCl
1.0
4.4937 1.2668 3.5414
1.3836 5.5883 1.0937
-1.0021 2.2826 5.3033
Cs C Cl
2 1 1
Direct
0.2500 0.2500 0.2500 Cs
0.7500 0.7500 0.7500 Cs
0.0000 0.0000 0.0000 C
0.5000 0.5000 0.5000 Cl
```

Output
uncorrected energy = -12.0 eV/cell
SG = Fm-3m
formation energy from raw total energies = 0.1883 eV/atom
D(E_F) = 0.000 states/eV/f.u.
offset from the most stable computed form = 0.000 eV per atom
total moment = 0.75 μB per atom



(6)
VASP calculation (PBE-GGA) on a geometry-optimized YHg2Pd2 structure.

POSCAR file:
```
YHg2Pd2
1.0
-2.1010 -3.3153 -2.7415
3.5182 2.7084 -1.7911
3.7438 -3.7564 1.6735
Y Hg Pd
1 2 2
Direct
0.0000 0.0000 0.0000 Y
0.3333 0.6667 0.6481 Hg
0.6667 0.3333 0.3519 Hg
0.6667 0.3333 0.8477 Pd
0.3333 0.6667 0.1523 Pd
```

Output
uncorrected energy = -19.8 eV/cell
SG = P-3m1
D(E_F) = 3.343 states/eV/f.u.
offset from the most stable computed form = 0.000 eV per atom
energy relative to the elements = -0.471 eV per atom
total moment = 0.00 μB per atom



(7)
VASP calculation (PBE-GGA) on a geometry-optimized Th3Tl2Bi structure.

POSCAR file:
```
Th3Tl2Bi
1.0
-1.9169 0.6726 5.2761
3.3860 -4.3533 -1.2439
5.2529 3.6742 1.4401
Th Tl Bi
3 2 1
Direct
0.0000 0.0000 0.5000 Th
0.6667 0.3333 0.8560 Th
0.3333 0.6667 0.1440 Th
0.6667 0.3333 0.3574 Tl
0.3333 0.6667 0.6426 Tl
0.0000 0.0000 0.0000 Bi
```

Output
uncorrected energy = -31.9 eV/cell
SG = P-3m1
D(E_F) = 8.750 states/eV/f.u.
energy relative to the elements = -0.173 eV per atom
total moment = 0.00 μB per atom



(8)
VASP calculation (PBE-GGA) on a geometry-optimized Li5TlCd2Pb2 structure.

POSCAR file:
```
Li5TlCd2Pb2
1.0
3.7604 0.0000 0.0000
0.0000 10.8169 0.0000
0.0000 0.0000 10.8169
Li Tl Cd Pb
10 2 4 4
Direct
0.5000 0.2010 0.0431 Li
0.5000 0.7990 0.9569 Li
0.5000 0.0431 0.7990 Li
0.5000 0.7010 0.4569 Li
0.5000 0.9569 0.2010 Li
0.5000 0.2990 0.5431 Li
0.5000 0.5431 0.7010 Li
0.5000 0.4569 0.2990 Li
0.5000 0.5000 0.0000 Li
0.5000 0.0000 0.5000 Li
0.0000 0.0000 0.0000 Tl
0.0000 0.5000 0.5000 Tl
0.0000 0.1309 0.6309 Cd
0.0000 0.8691 0.3691 Cd
0.0000 0.6309 0.8691 Cd
0.0000 0.3691 0.1309 Cd
0.0000 0.6691 0.1691 Pb
0.0000 0.3309 0.8309 Pb
0.0000 0.1691 0.3309 Pb
0.0000 0.8309 0.6691 Pb
```

Output
uncorrected energy = -45.5 eV/cell
SG = P4/mbm
D(E_F) = 4.289 states/eV/f.u.
energy relative to the elements = -0.155 eV per atom
total moment = 0.00 μB per atom



(9)
VASP calculation (PBE-GGA) on a geometry-optimized Ce7Sn2Os2 structure.

POSCAR file:
```
Ce7Sn2Os2
1.0
4.1407 0.0000 0.8880
1.3047 7.9750 4.0142
0.2349 -0.5664 9.0022
Ce Sn Os
7 2 2
Direct
0.8261 0.0345 0.3133 Ce
0.8765 0.4186 0.8284 Ce
0.5000 0.0174 0.9826 Ce
0.5948 0.5178 0.2925 Ce
0.4052 0.7075 0.4822 Ce
0.1739 0.6867 0.9655 Ce
0.1235 0.1716 0.5814 Ce
0.7296 0.8489 0.6920 Sn
0.2704 0.3080 0.1511 Sn
0.0000 0.8007 0.1993 Os
0.5000 0.3423 0.6577 Os
```

Output
uncorrected energy = -75.2 eV/cell
SG = Imm2
D(E_F) = 31.707 states/eV/f.u.
offset from the most stable computed form = 0.000 eV per atom
energy relative to the elements = -0.289 eV per atom
total moment = 0.51 μB per atom



(10)
VASP calculation (PBE-GGA) on a geometry-optimized Sc5Tl3Ag structure.

POSCAR file:
```
Sc5Tl3Ag
1.0
6.2406 0.0000 0.0000
0.0000 7.5777 -4.3751
0.0000 0.0000 8.7500
Sc Tl Ag
10 6 2
Direct
0.0000 0.6667 0.3333 Sc
0.5000 0.3333 0.6667 Sc
0.0000 0.3333 0.6667 Sc
0.5000 0.6667 0.3333 Sc
0.7500 0.7186 0.7186 Sc
0.7500 0.0000 0.2814 Sc
0.7500 0.2814 0.0000 Sc
0.2500 0.2814 0.2814 Sc
0.2500 0.0000 0.7186 Sc
0.2500 0.7186 0.0000 Sc
0.7500 0.3779 0.3779 Tl
0.7500 0.0000 0.6221 Tl
0.7500 0.6221 0.0000 Tl
0.2500 0.6221 0.6221 Tl
0.2500 0.0000 0.3779 Tl
0.2500 0.3779 0.0000 Tl
0.0000 0.0000 0.0000 Ag
0.5000 0.0000 0.0000 Ag
```

Output
uncorrected energy = -88.2 eV/cell
SG = P6_3/mcm
D(E_F) = 8.686 states/eV/f.u.
energy relative to the elements = -0.279 eV per atom
total moment = 0.00 μB per atom



(11)
VASP calculation (PBE-GGA) on a geometry-optimized PrMg2CdAg4 structure.

POSCAR file:
```
PrMg2CdAg4
1.0
4.7507 0.0000 0.0000
2.3753 4.1142 0.0000
2.3753 1.3714 8.8732
Pr Mg Cd Ag
1 2 1 4
Direct
0.0000 0.0000 0.0000 Pr
0.7581 0.7581 0.7258 Mg
0.2419 0.2419 0.2742 Mg
0.5000 0.5000 0.5000 Cd
0.3944 0.3944 0.8167 Ag
0.8744 0.8744 0.3767 Ag
0.1256 0.1256 0.6233 Ag
0.6056 0.6056 0.1833 Ag
```

Output
uncorrected energy = -21.7 eV/cell
SG = R-3m
D(E_F) = 4.388 states/eV/f.u.
energy relative to the elements = -0.175 eV per atom
total moment = 0.00 μB per atom



(12)
VASP calculation (PBE-GGA) on a geometry-optimized TbTm2Sb structure.

POSCAR file:
```
TbTm2Sb
1.0
-1.2631 3.8924 0.3569
0.1844 -2.6419 5.8379
8.8982 2.7973 0.9849
Tb Tm Sb
2 4 2
Direct
0.9432 0.8862 0.2500 Tb
0.0568 0.1138 0.7500 Tb
0.3642 0.7286 0.5472 Tm
0.6358 0.2714 0.4528 Tm
0.3642 0.7286 0.9528 Tm
0.6358 0.2714 0.0472 Tm
0.7586 0.5173 0.7500 Sb
0.2414 0.4827 0.2500 Sb
```

Output
uncorrected energy = -39.7 eV/cell
SG = Cmcm
formation energy from raw total energies = -0.5404 eV/atom
D(E_F) = 5.930 states/eV/f.u.
offset from the most stable computed form = 0.000 eV per atom
total moment = 0.00 μB per atom



(13)
VASP calculation (PBE-GGA) on a geometry-optimized HoCuPdRh structure.

POSCAR file:
```
HoCuPdRh
1.0
3.8192 0.0000 0.0000
0.0000 4.0967 0.0000
0.0000 0.0000 4.2140
Ho Cu Pd Rh
1 1 1 1
Direct
0.0000 0.5000 0.5000 Ho
0.0000 0.0000 0.0000 Cu
0.5000 0.5000 0.0000 Pd
0.5000 0.0000 0.5000 Rh
```

Output
uncorrected energy = -23.7 eV/cell
SG = Pmmm
D(E_F) = 2.695 states/eV/f.u.
offset from the most stable computed form = 0.000 eV per atom
energy relative to the elements = -0.621 eV per atom
total moment = 0.00 μB per atom



(14)
VASP calculation (PBE-GGA) on a geometry-optimized KRbHF structure.

POSCAR file:
```
KRbHF
1.0
-2.4483 0.6101 -3.1379
-1.0927 -3.0949 -2.3325
-6.4185 -1.9018 2.0548
K Rb H F
1 1 1 1
Direct
0.9412 0.9412 0.1763 K
0.4475 0.4475 0.6576 Rb
0.6896 0.6896 0.9311 H
0.1981 0.1981 0.4057 F
```

Output
uncorrected energy = -13.0 eV/cell
SG = R3m
D(E_F) = 0.000 states/eV/f.u.
offset from the most stable computed form = 0.000 eV per atom
total moment = 0.00 μB per atom



(15)
VASP calculation (PBE-GGA) on a geometry-optimized ReIrF2 structure.

POSCAR file:
```
ReIrF2
1.0
-8.2975 -0.0574 1.3967
-7.8558 -2.6869 1.3678
-7.4873 -1.2977 3.6138
Re Ir F
1 1 2
Direct
0.5000 0.5000 0.5000 Re
0.0000 0.0000 0.0000 Ir
0.9180 0.9180 0.9180 F
0.0820 0.0820 0.0820 F
```

Output
uncorrected energy = -25.7 eV/cell
SG = R-3m
formation energy from raw total energies = -0.1729 eV/atom
D(E_F) = 3.221 states/eV/f.u.
offset from the most stable computed form = 0.348 eV per atom
total moment = 0.00 μB per atom



(16)
VASP calculation (PBE-GGA) on a geometry-optimized NaAc2Zn2O6 structure.

POSCAR file:
```
NaAc2Zn2O6
1.0
-2.4872 -2.4100 4.8403
3.3926 -1.5068 4.6522
-0.4625 4.1543 5.4899
Na Ac Zn O
1 2 2 6
Direct
0.0000 0.0000 0.0000 Na
0.7976 0.7976 0.6071 Ac
0.2024 0.2024 0.3929 Ac
0.4254 0.4254 0.7237 Zn
0.5746 0.5746 0.2763 Zn
0.7471 0.7471 0.2978 O
0.2079 0.7471 0.2978 O
0.7471 0.2079 0.2978 O
0.2529 0.7921 0.7022 O
0.7921 0.2529 0.7022 O
0.2529 0.2529 0.7022 O
```

Output
uncorrected energy = -62.8 eV/cell
SG = R-3m
formation energy from raw total energies = -1.9068 eV/atom
D(E_F) = 7.960 states/eV/f.u.
total moment = 0.06 μB per atom



(17)
VASP calculation (PBE-GGA) on a geometry-optimized Ca2AgGe2Rh5 structure.

POSCAR file:
```
Ca2AgGe2Rh5
1.0
-2.8261 1.8220 0.8939
-4.6392 -3.1331 -8.2803
-3.5312 -7.9176 4.9743
Ca Ag Ge Rh
4 2 4 10
Direct
0.0000 0.6734 0.1734 Ca
0.0000 0.3266 0.8266 Ca
0.0000 0.1734 0.3266 Ca
0.0000 0.8266 0.6734 Ca
0.0000 0.0000 0.0000 Ag
0.0000 0.5000 0.5000 Ag
0.0000 0.1264 0.6264 Ge
0.0000 0.8736 0.3736 Ge
0.0000 0.6264 0.8736 Ge
0.0000 0.3736 0.1264 Ge
0.5000 0.2107 0.0678 Rh
0.5000 0.7893 0.9322 Rh
0.5000 0.0678 0.7893 Rh
0.5000 0.7107 0.4322 Rh
0.5000 0.9322 0.2107 Rh
0.5000 0.2893 0.5678 Rh
0.5000 0.5678 0.7107 Rh
0.5000 0.4322 0.2893 Rh
0.5000 0.5000 0.0000 Rh
0.5000 0.0000 0.5000 Rh
```

Output
uncorrected energy = -115.3 eV/cell
SG = P4/mbm
D(E_F) = 4.377 states/eV/f.u.
energy relative to the elements = -0.482 eV per atom
total moment = 0.00 μB per atom



(18)
VASP calculation (PBE-GGA) on a geometry-optimized Ac5Pb6 structure.

POSCAR file:
```
Ac5Pb6
1.0
-4.4023 0.9057 -2.1472
1.0555 -3.0361 -3.4448
-7.7468 -11.5370 11.0165
Ac Pb
5 6
Direct
0.5000 0.7982 0.5963 Ac
0.5000 0.2018 0.4037 Ac
0.0000 0.6166 0.2332 Ac
0.0000 0.3834 0.7668 Ac
0.0000 0.0000 0.0000 Ac
0.5000 0.5438 0.0876 Pb
0.5000 0.4562 0.9124 Pb
0.0000 0.7173 0.4347 Pb
0.0000 0.2827 0.5653 Pb
0.5000 0.8952 0.7903 Pb
0.5000 0.1048 0.2097 Pb
```

Output
uncorrected energy = -47.9 eV/cell
SG = Cmmm
D(E_F) = 8.748 states/eV/f.u.
offset from the most stable computed form = 0.000 eV per atom
energy relative to the elements = -0.468 eV per atom
total moment = 0.00 μB per atom



(19)
VASP calculation (PBE-GGA) on a geometry-optimized ScPaPb2 structure.

POSCAR file:
```
ScPaPb2
1.0
-3.4667 1.9658 2.9222
-4.2740 1.5517 -1.9356
-4.6010 -3.4799 1.0613
Pb Sc Pa
2 1 1
Direct
0.7592 0.7592 0.7223 Pb
0.2408 0.2408 0.2777 Pb
0.5000 0.5000 0.5000 Sc
0.0000 0.0000 0.0000 Pa
```

Output
uncorrected energy = -23.4 eV/cell
SG = R-3m
D(E_F) = 5.398 states/eV/f.u.
offset from the most stable computed form = 0.046 eV per atom
energy relative to the elements = -0.037 eV per atom
total moment = 0.00 μB per atom



(20)
VASP calculation (PBE-GGA) on a geometry-optimized La3TeRu structure.

POSCAR file:
```
La3TeRu
1.0
-0.3114 1.5932 5.2187
-1.5893 -5.0271 1.4398
5.2199 -1.4355 0.7497
Ru Te La
1 1 3
Direct
0.0000 0.0000 0.0000 Ru
0.5000 0.5000 0.5000 Te
0.0000 0.5000 0.0000 La
0.0000 0.0000 0.5000 La
0.5000 0.0000 0.0000 La
```

Output
uncorrected energy = -30.1 eV/cell
SG = Pm-3m
formation energy from raw total energies = -0.5895 eV/atom
D(E_F) = 6.926 states/eV/f.u.
offset from the most stable computed form = 0.163 eV per atom
total moment = 0.00 μB per atom